Entry from Alexandria via LeMat-Bulk: a relaxed Ir2PtSe crystal (GGA-PBE).

Calculated values
The value obtained for the raw formation energy is 580.4 meV/atom. The calculated total energy is -6.231 eV per atom.

Lattice parameters (Å, degrees): 4.474 4.474 4.474 60.00 60.00 60.00
Fractional coordinates of all 4 atoms:
Ir (0.000, 0.000, 0.000)
Ir (0.250, 0.250, 0.250)
Se (0.750, 0.750, 0.750)
Pt (0.500, 0.500, 0.500)